Record 1
# Mn2GaH2

Mn2GaH2 after structural relaxation (PBE, the Alexandria database).

extended XYZ file:
```
10
Lattice="2.775 0.000 0.000 0.000 2.775 0.000 0.000 0.000 11.646" Properties=species:S:1:pos:R:3 pbc="T T T"
Mn 0.000 0.000 1.776
Mn 0.000 0.000 9.869
Mn 1.388 1.388 4.046
Mn 1.388 1.388 7.599
Ga 0.000 0.000 5.823
Ga 1.388 1.388 0.000
H 0.000 1.388 2.911
H 0.000 1.388 8.734
H 1.388 0.000 2.911
H 1.388 0.000 8.734
```

Properties
Polymorph energy (0 for the lowest one) (meV per atom): 0
Symmetry: I4/mmm (139)

***

Record 2
# MnGa3H

MnGa3H after structural relaxation (PBE, the Alexandria database).

extended XYZ file:
```
5
Lattice="4.852 0.000 0.000 0.000 4.852 0.000 0.000 0.000 4.852" Properties=species:S:1:pos:R:3 pbc="T T T"
Mn 0.000 0.000 0.000
Ga 0.000 0.000 2.426
Ga 0.000 2.426 0.000
Ga 2.426 0.000 0.000
H 2.426 2.426 2.426
```

Properties
Energy (eV/atom): -3.6466
Symmetry: Pm-3m (221)

***

Record 3
# MnGaH2

MnGaH2 after structural relaxation (PBE, the Alexandria database).

extended XYZ file:
```
12
Lattice="2.799 0.000 0.000 -1.399 2.424 0.000 0.000 0.000 17.282" Properties=species:S:1:pos:R:3 pbc="T T T"
Mn 0.000 0.000 0.000
Mn 0.000 1.616 11.521
Mn 1.399 0.808 5.761
Ga 0.000 0.000 14.288
Ga 0.000 1.616 8.527
Ga 1.399 0.808 2.767
H 0.000 0.000 6.458
H 0.000 0.000 10.743
H 0.000 1.616 0.698
H 0.000 1.616 4.983
H 1.399 0.808 12.219
H 1.399 0.808 16.504
```

Properties
Polymorph energy (0 for the lowest one) (meV per atom): 4
Symmetry: R3m (160)

***

Record 4
# Mn3GaH

Mn3GaH after structural relaxation (PBE, the Alexandria database).

extended XYZ file:
```
10
Lattice="5.229 0.000 0.000 -2.614 4.528 0.000 0.000 0.000 4.257" Properties=species:S:1:pos:R:3 pbc="T T T"
Mn 0.000 1.505 1.064
Mn -1.311 3.776 1.064
Mn 1.303 0.752 3.193
Mn 1.311 3.776 1.064
Mn 3.926 0.752 3.193
Mn 2.614 3.024 3.193
Ga 0.000 3.019 3.193
Ga 2.614 1.509 1.064
H 0.000 0.000 0.000
H 0.000 0.000 2.129
```

Properties
Energy (eV/atom): -6.8235
Symmetry: P6_3/mmc (194)

***

Record 5
# Mn3Ga2H2

Mn3Ga2H2 after structural relaxation (PBE, the Alexandria database).

extended XYZ file:
```
14
Lattice="6.894 -1.380 0.000 6.894 1.380 0.000 -4.762 0.000 7.853" Properties=species:S:1:pos:R:3 pbc="T T T"
Mn -0.099 0.000 1.286
Mn -1.809 0.000 6.076
Mn 3.121 0.000 4.244
Mn 5.906 0.000 3.609
Mn 10.835 0.000 1.777
Mn 9.125 0.000 6.567
Ga 0.607 0.000 5.101
Ga 0.306 0.000 7.769
Ga 8.720 0.000 0.084
Ga 8.419 0.000 2.752
H -1.266 0.000 2.549
H 4.180 0.000 2.878
H 4.847 0.000 4.975
H 10.293 0.000 5.304
```

Properties
Energy (eV/atom): -5.7503
Symmetry: C2/m (12)

***

Record 6
# MnGa2H6

MnGa2H6 after structural relaxation (PBE, the Alexandria database).

extended XYZ file:
```
9
Lattice="0.000 3.167 3.167 3.167 0.000 3.167 3.167 3.167 0.000" Properties=species:S:1:pos:R:3 pbc="T T T"
Mn 0.000 0.000 0.000
Ga 1.583 1.583 1.583
Ga 4.750 4.750 4.750
H 3.167 3.167 1.620
H 3.167 1.620 3.167
H 4.714 3.167 3.167
H 1.620 3.167 3.167
H 3.167 4.714 3.167
H 3.167 3.167 4.714
```

Properties
Energy (eV/atom): -3.7592
Symmetry: Fm-3m (225)

***

Record 7
# MnGaH3

MnGaH3 after structural relaxation (PBE, the Alexandria database).

extended XYZ file:
```
5
Lattice="3.407 0.000 0.000 0.000 3.407 0.000 0.000 0.000 3.407" Properties=species:S:1:pos:R:3 pbc="T T T"
Mn 0.000 0.000 0.000
Ga 1.704 1.704 1.704
H 0.000 1.704 1.704
H 1.704 0.000 1.704
H 1.704 1.704 0.000
```

Properties
Polymorph energy (0 for the lowest one) (meV per atom): 768
Symmetry: Pm-3m (221)

***

Record 8
# Mn3GaH

Mn3GaH after structural relaxation (PBE, the Alexandria database).

extended XYZ file:
```
10
Lattice="2.492 0.000 0.000 0.000 4.391 0.000 0.000 0.000 12.819" Properties=species:S:1:pos:R:3 pbc="T T T"
Mn 0.000 0.000 0.000
Mn 0.000 2.195 6.410
Mn 1.246 1.034 4.566
Mn 1.246 1.162 10.976
Mn 1.246 3.229 10.976
Mn 1.246 3.357 4.566
Ga 1.246 0.000 2.240
Ga 1.246 2.195 8.650
H 0.000 0.000 10.210
H 0.000 2.195 3.801
```

Properties
Energy (eV/atom): -6.2110
Symmetry: Amm2 (38)

***

no.,magnetization (μB/atom)
1,1.02
2,0.12
3,0.73
4,1.02
5,1.08
6,0.00
7,0.00
8,0.58